(1)
This record from Alexandria via LeMat-Bulk describes a relaxed structure of Y3HgSe2. The functional is PBE.

Structure (POSCAR):
```
Y3HgSe2
1.0
-2.0133 2.9644 6.4454
2.0133 -2.9644 6.4454
2.0133 2.9644 -6.4454
Y Hg Se
3 1 2
Cartesian
0.0000 0.0000 0.0000 Y
0.0000 0.0000 4.1944 Y
0.0000 0.0000 8.6964 Y
0.0000 2.9644 0.0000 Hg
2.0133 0.0000 2.1261 Se
0.0000 2.9644 4.3193 Se
```

Values from the calculation:
The space-group type is No. 71. The formation energy from raw total energies comes out at -1.3437 eV per atom.


(2)
This record from Alexandria via LeMat-Bulk describes a relaxed structure of Li12InAg2. The functional is PBE.

Structure (POSCAR):
```
Li12InAg2
1.0
3.7884 -3.7929 0.0000
3.7884 3.7929 0.0000
0.0000 0.0000 20.8023
Li In Ag
24 2 4
Cartesian
3.7884 3.7919 2.2182 Li
3.7884 -3.7919 18.5841 Li
5.6815 -1.8964 2.2214 Li
1.8952 1.8964 18.5809 Li
2.3794 1.8964 9.1374 Li
3.7884 3.3068 11.6639 Li
1.8942 0.0000 4.3007 Li
1.8942 0.0000 6.8141 Li
1.8942 0.0000 13.9881 Li
1.8942 0.0000 16.5016 Li
3.7884 0.4860 11.6639 Li
5.1973 1.8964 9.1374 Li
1.8952 -1.8964 2.2214 Li
5.6815 1.8964 18.5809 Li
3.7884 0.0009 2.2182 Li
3.7884 -0.0009 18.5841 Li
2.3794 -1.8964 11.6649 Li
3.7884 -0.4860 9.1384 Li
5.6825 0.0000 4.3007 Li
5.6825 0.0000 6.8141 Li
5.6825 0.0000 13.9881 Li
5.6825 0.0000 16.5016 Li
3.7884 -3.3068 9.1384 Li
5.1973 -1.8964 11.6649 Li
3.7884 1.8964 0.0002 In
3.7884 -1.8964 20.8021 In
3.7884 1.8964 4.5662 Ag
3.7884 1.8964 16.2363 Ag
3.7884 -1.8964 4.5660 Ag
3.7884 -1.8964 16.2361 Ag
```

Values from the calculation:
The space-group type is No. 67. The formation energy comes out at 0.798 eV/f.u.